# 1
First-principles (GGA-PBE) data for a relaxed La2Tb3Y6 crystal, as listed in Alexandria via LeMat-Bulk.

Cell lengths 6.1630, 10.6856, 11.8434 Å; angles 90.00, 100.03, 90.00 degrees
Space group C2/m (No. 12)
Asymmetric unit:
La1 0.0000 0.1673 0.0000
Tb1 0.0000 0.0000 0.5000
Tb2 0.0000 0.3353 0.5000
Y1 0.2482 0.5000 0.7454
Y2 0.2487 0.1664 0.7455

Output
For the offset from the most stable computed form, the calculation gives 164.3 meV per atom. The density of states at the Fermi level is 1.666 states/eV per atom.

***

# 2
First-principles (GGA-PBE) data for a relaxed La12TbY5 crystal, as listed in Alexandria via LeMat-Bulk.

Cell lengths 11.5843, 18.2479, 6.0713 Å; angles 90.00, 90.00, 90.00 degrees
Space group Cmmm (No. 65)
Asymmetric unit:
La1 0.1563 0.0000 0.0000
La2 0.1573 0.1664 0.5000
La3 0.1584 0.3338 0.0000
La4 0.1586 0.5000 0.5000
Tb1 0.0000 0.0000 0.5000
Y1 0.0000 0.1676 0.0000
Y2 0.0000 0.3332 0.5000
Y3 0.0000 0.5000 0.0000

Output
The density of states at the Fermi level is 2.139 states/eV per atom.

***

# 3
First-principles (GGA-PBE) data for a relaxed La2TbY7 crystal, as listed in Alexandria via LeMat-Bulk.

Cell lengths 6.2308, 7.2005, 8.0879 Å; angles 77.05, 74.93, 73.74 degrees
Space group P-1 (No. 2)
Asymmetric unit:
La1 0.1982 0.2990 0.1038
Tb1 0.0000 0.5000 0.5000
Y1 0.0000 0.0000 0.5000
Y2 0.1982 0.7992 0.1025
Y3 0.3987 0.1015 0.6972
Y4 0.3990 0.6003 0.6972

Output
For the offset from the most stable computed form, the calculation gives 0.0 meV per atom. The density of states at the Fermi level is 1.548 states/eV per atom.

***

# 4
First-principles (GGA-PBE) data for a relaxed La6TbY3 crystal, as listed in Alexandria via LeMat-Bulk.

Cell lengths 12.6134, 12.6134, 15.5408 Å; angles 90.00, 90.00, 120.00 degrees
Space group R-3 (No. 148, hexagonal axes)
Asymmetric unit:
La1 0.0363 0.1823 0.2964
La2 0.0568 0.5736 0.5911
Tb1 0.0000 0.0000 0.0000
Tb2 0.0000 0.0000 0.5000
Y1 0.0249 0.4436 0.1990

Output
The density of states at the Fermi level is 1.837 states/eV per atom.

***

# 5
First-principles (GGA-PBE) data for a relaxed La14TbY crystal, as listed in Alexandria via LeMat-Bulk.

Cell lengths 11.8679, 11.5445, 8.4475 Å; angles 90.00, 90.00, 90.00 degrees
Space group Amm2 (No. 38)
Asymmetric unit:
La1 0.0000 0.0000 0.0000
La2 0.0000 0.0000 0.4306
La3 0.0000 0.2099 0.7421
La4 0.2450 0.2148 0.0284
La5 0.2547 0.0000 0.3109
La6 0.2628 0.0000 0.7469
La7 0.5000 0.2326 0.7520
Tb1 0.5000 0.0000 0.0390
Y1 0.5000 0.0000 0.4812

Output
The density of states at the Fermi level is 1.717 states/eV per atom.

***

# 6
First-principles (GGA-PBE) data for a relaxed La8TbY5 crystal, as listed in Alexandria via LeMat-Bulk.

Cell lengths 9.8444, 9.8444, 10.4278 Å; angles 90.00, 90.00, 90.00 degrees
Space group I-4 (No. 82)
Asymmetric unit:
La1 0.0665 0.3324 0.4076
La2 0.0929 0.1834 0.7482
Tb1 0.0000 0.5000 0.7500
Y1 0.0000 0.0000 0.5000
Y2 0.1077 0.1999 0.0742

Output
The density of states at the Fermi level is 1.639 states/eV per atom.

***

# 7
First-principles (GGA-PBE) data for a relaxed La2Tb4Y5 crystal, as listed in Alexandria via LeMat-Bulk.

Cell lengths 24.1432, 3.4566, 8.8453 Å; angles 90.00, 96.27, 90.00 degrees
Space group C2/m (No. 12)
Asymmetric unit:
La1 0.0905 0.0000 0.2405
Tb1 0.0466 0.0000 0.8615
Tb2 0.1786 0.5000 0.9720
Y1 0.0000 0.5000 0.5000
Y2 0.1410 0.0000 0.6217
Y3 0.2330 0.0000 0.3249

Output
For the offset from the most stable computed form, the calculation gives 0.0 meV per atom. The density of states at the Fermi level is 2.086 states/eV per atom.

***

# 8
First-principles (GGA-PBE) data for a relaxed La8Tb3Y2 crystal, as listed in Alexandria via LeMat-Bulk.

Cell lengths 20.6728, 7.7421, 5.8640 Å; angles 90.00, 90.02, 90.00 degrees
Space group C2/m (No. 12)
Asymmetric unit:
La1 0.1048 0.2008 0.0001
La2 0.1311 0.5000 0.4995
La3 0.1740 0.0000 0.5007
Tb1 0.0000 0.2178 0.5000
Tb2 0.0000 0.5000 0.0000
Y1 0.2401 0.5000 0.9992

Output
For the offset from the most stable computed form, the calculation gives 33.1 meV per atom. The density of states at the Fermi level is 1.388 states/eV per atom.

***

Number 1: calculated total energy -5.502 eV per atom, formation enthalpy at 0 K 183 meV/atom. Number 2: calculated total energy -5.243 eV per atom, formation enthalpy at 0 K 94 meV/atom. Number 3: calculated total energy -5.948 eV per atom, formation enthalpy at 0 K 25 meV/atom. Number 4: calculated total energy -5.158 eV per atom, formation enthalpy at 0 K 200 meV/atom. Number 5: calculated total energy -4.925 eV per atom, formation enthalpy at 0 K 80 meV/atom. Number 6: calculated total energy -5.204 eV per atom, formation enthalpy at 0 K 251 meV/atom. Number 7: calculated total energy -5.370 eV per atom, formation enthalpy at 0 K 148 meV/atom. Number 8: calculated total energy -4.916 eV per atom, formation enthalpy at 0 K 179 meV/atom.